1.
{
  "formula": "Fe2ReRh",
  "functional": "PBE",
  "state": "optimized geometry",
  "cell": [[4.2579, 0.0000, 0.0000], [0.0000, 4.2579, 0.0000], [0.0000, 0.0000, 2.9166]],
  "species": ["Fe", "Re", "Fe", "Rh"],
  "fractional_positions": [[0.0000, 0.0000, 0.0000], [0.5000, 0.0000, 0.5000], [0.5000, 0.5000, 0.0000], [0.0000, 0.5000, 0.5000]],
  "total_energy_ev_per_atom": -9.0397,
  "magmom_total_mub_per_cell": 5.4
}

2.
{
  "formula": "Fe2ReRh",
  "functional": "PBE",
  "state": "optimized geometry",
  "cell": [[4.5841, 0.0172, 0.0000], [1.5733, 4.3057, 0.0000], [-3.0787, -2.1614, 2.6199]],
  "species": ["Rh", "Fe", "Re", "Fe"],
  "fractional_positions": [[0.7500, 0.2500, 0.5000], [0.0000, 0.0000, 0.0000], [0.5000, 0.5000, 0.0000], [0.2500, 0.7500, 0.5000]],
  "total_energy_ev_per_atom": -9.1534,
  "magmom_total_mub_per_cell": 3.4
}

3.
{
  "formula": "Fe2ReRh",
  "functional": "PBE",
  "state": "optimized geometry",
  "cell": [[-0.7532, 1.4930, -2.0208], [0.8910, -2.3068, -0.8746], [-7.7153, -3.1798, 0.5264]],
  "species": ["Rh", "Fe", "Fe", "Re"],
  "fractional_positions": [[0.5000, 0.5000, 0.7500], [0.0000, 0.0000, 0.5009], [0.0000, 0.0000, 0.9991], [0.5000, 0.5000, 0.2500]],
  "total_energy_ev_per_atom": -9.0526,
  "magmom_total_mub_per_cell": 5.8
}

4.
{
  "formula": "FeReRh3",
  "functional": "PBE",
  "state": "optimized geometry",
  "cell": [[4.6609, 0.0000, 0.0000], [0.0000, 4.6609, 0.0000], [0.0000, 0.0000, 4.6609]],
  "species": ["Rh", "Rh", "Fe", "Rh", "Re"],
  "fractional_positions": [[0.5000, 0.0000, 0.0000], [0.0000, 0.5000, 0.0000], [0.5000, 0.5000, 0.5000], [0.0000, 0.0000, 0.5000], [0.0000, 0.0000, 0.0000]],
  "relative_energy_mev_per_atom": 221,
  "magmom_total_mub_per_cell": 0.4
}

5.
{
  "formula": "Fe2ReRh",
  "functional": "PBE",
  "state": "optimized geometry",
  "cell": [[-0.9179, -4.3896, -0.9777], [0.5965, -4.3863, 1.2129], [-3.7056, -0.5803, 2.5627]],
  "species": ["Re", "Rh", "Fe", "Fe"],
  "fractional_positions": [[0.5009, 0.5009, 0.5026], [0.2518, 0.2518, 0.2492], [0.9998, 0.9998, 0.9938], [0.7475, 0.7475, 0.7544]],
  "total_energy_ev_per_atom": -9.1282,
  "magmom_total_mub_per_cell": 4.2
}

6.
{
  "formula": "Fe2ReRh",
  "functional": "PBE",
  "state": "optimized geometry",
  "cell": [[2.7814, 0.0000, 0.0000], [0.0000, 4.4645, 0.0000], [0.0000, 0.0000, 4.3730]],
  "species": ["Rh", "Fe", "Fe", "Re"],
  "fractional_positions": [[0.0000, 0.5000, 0.5000], [0.0000, 0.0000, 0.0000], [0.5000, 0.5000, 0.0000], [0.5000, 0.0000, 0.5000]],
  "total_energy_ev_per_atom": -8.9589,
  "magmom_total_mub_per_cell": 5.4
}